Record 1
The following is a PBE-GGA calculation of an optimized crystal structure of SmH8Pd3Pt2, from Alexandria.

Cell lengths 5.8184, 5.8184, 5.8184 Å; angles 59.64, 59.64, 59.64 degrees
Last column: nearest neighbours and their distance in Å.
Fractional positions:
Sm1 0.0000 0.0000 0.0000  4 H 2.20-2.26
H1 0.1306 0.6130 0.6130  2 Pt 1.81-1.96
H2 0.1543 0.1543 0.1543  3 Pd 1.85
H3 0.1625 0.1625 0.5231  1 Pt 1.78, 2 Pd 1.88
H4 0.1625 0.5231 0.1625  1 Pt 1.78, 2 Pd 1.88
H5 0.5231 0.1625 0.1625  1 Pt 1.78, 2 Pd 1.88
H6 0.6130 0.1306 0.6130  2 Pt 1.81-1.96
H7 0.6130 0.6130 0.1306  2 Pt 1.81-1.96
H8 0.6190 0.6190 0.6190  1 Pt 1.83, 3 Pd 2.00
Pd1 0.3749 0.3749 0.8656  6 H 1.85-2.04
Pd2 0.3749 0.8656 0.3749  6 H 1.85-2.04
Pd3 0.8656 0.3749 0.3749  6 H 1.85-2.04
Pt1 0.3745 0.3745 0.3745  6 H 1.78-1.96
Pt2 0.7473 0.7473 0.7473  4 H 1.81-1.83

Results
VASP energy ... -61.35 eV per cell

***

Record 2
The following is a PBE-GGA calculation of an optimized crystal structure of SnHPd2Pt, from Alexandria.

Cell lengths 3.9430, 3.9430, 4.5224 Å; angles 90.00, 90.00, 90.00 degrees
Last column: nearest neighbours and their distance in Å.
Fractional positions:
Sn1 0.0000 0.0000 0.0000  2 H 2.26
H1 0.0000 0.0000 0.5000  4 Pd 1.97
Pd1 0.0000 0.5000 0.5000  2 H 1.97
Pd2 0.5000 0.0000 0.5000  2 H 1.97
Pt1 0.5000 0.5000 0.0000  4 Sn 2.79, 8 Pd 3.00

Results
Energy above the most stable polymorph in this dataset ... 0.1747 eV/atom

***

Record 3
The following is a PBE-GGA calculation of an optimized crystal structure of SnHPd2Pt, from Alexandria.

Cell lengths 4.1168, 4.1168, 4.0730 Å; angles 90.00, 90.00, 90.00 degrees
Last column: nearest neighbours and their distance in Å.
Fractional positions:
Sn1 0.0000 0.0000 0.0000  8 Pd 2.90, 4 Pt 2.91
H1 0.5000 0.5000 0.5000  2 Pt 2.04, 4 Pd 2.06
Pd1 0.0000 0.5000 0.5000  2 H 2.06
Pd2 0.5000 0.0000 0.5000  2 H 2.06
Pt1 0.5000 0.5000 0.0000  2 H 2.04

Results
Energy above the most stable polymorph in this dataset ... 0.0000 eV/atom

***

Record 4
The following is a PBE-GGA calculation of an optimized crystal structure of SrH8PdPt2, from Alexandria.

Cell lengths 6.3987, 6.3987, 6.3987 Å; angles 45.16, 45.16, 45.16 degrees
Last column: nearest neighbours and their distance in Å.
Fractional positions:
Sr1 0.0000 0.0000 0.0000  6 H 2.55
H1 0.1314 0.7809 0.4327  1 Pt 1.72, 1 Pd 1.83
H2 0.2191 0.5673 0.8686  1 Pt 1.72, 1 Pd 1.83
H3 0.3111 0.3111 0.3111  1 Pt 1.63
H4 0.4327 0.1314 0.7809  1 Pt 1.72, 1 Pd 1.83
H5 0.5673 0.8686 0.2191  1 Pt 1.72, 1 Pd 1.83
H6 0.6889 0.6889 0.6889  1 Pt 1.63
H7 0.7809 0.4327 0.1314  1 Pt 1.72, 1 Pd 1.83
H8 0.8686 0.2191 0.5673  1 Pt 1.72, 1 Pd 1.83
Pd1 0.5000 0.5000 0.5000  6 H 1.83
Pt1 0.2163 0.2163 0.2163  4 H 1.63-1.72
Pt2 0.7837 0.7837 0.7837  4 H 1.63-1.72

Results
VASP energy ... -47.95 eV per cell

***

Record 5
The following is a PBE-GGA calculation of an optimized crystal structure of Sr2HPd6Pt, from Alexandria.

Cell lengths 5.6814, 5.6814, 7.2897 Å; angles 112.93, 112.93, 59.96 degrees
Last column: nearest neighbours and their distance in Å.
Fractional positions:
Sr1 0.2128 0.2128 0.1390  6 Pd 3.10, 3 Pt 3.40
Sr2 0.7872 0.7872 0.8610  6 Pd 3.10, 3 Pt 3.40
H1 0.0000 0.0000 0.5000  6 Pd 2.00-2.01
Pd1 0.2270 0.2270 0.6681  1 H 2.01
Pd2 0.2268 0.7162 0.6692  1 H 2.00
Pd3 0.2838 0.7732 0.3308  1 H 2.00
Pd4 0.7162 0.2268 0.6692  1 H 2.00
Pd5 0.7732 0.2838 0.3308  1 H 2.00
Pd6 0.7730 0.7730 0.3319  1 H 2.01
Pt1 0.5000 0.5000 0.0000  6 Pd 2.69

Results
VASP energy ... -48.30 eV per cell

***

Record 6
The following is a PBE-GGA calculation of an optimized crystal structure of SrHPdPt2, from Alexandria.

Cell lengths 4.1606, 4.1606, 4.4859 Å; angles 90.00, 90.00, 90.00 degrees
Last column: nearest neighbours and their distance in Å.
Fractional positions:
Sr1 0.0000 0.0000 0.0000  4 Pd 2.94, 8 Pt 3.06
H1 0.5000 0.5000 0.5000  4 Pt 2.08, 2 Pd 2.24
Pd1 0.5000 0.5000 0.0000  2 H 2.24
Pt1 0.0000 0.5000 0.5000  2 H 2.08
Pt2 0.5000 0.0000 0.5000  2 H 2.08

Results
VASP energy ... -23.99 eV per cell

***

Record 7
The following is a PBE-GGA calculation of an optimized crystal structure of SrHPd2Pt, from Alexandria.

Cell lengths 4.3689, 4.3689, 4.0733 Å; angles 90.00, 90.00, 90.00 degrees
Last column: nearest neighbours and their distance in Å.
Fractional positions:
Sr1 0.0000 0.0000 0.0000  8 Pd 2.99, 4 Pt 3.09
H1 0.5000 0.5000 0.5000  2 Pt 2.04, 4 Pd 2.18
Pd1 0.0000 0.5000 0.5000  2 H 2.18
Pd2 0.5000 0.0000 0.5000  2 H 2.18
Pt1 0.5000 0.5000 0.0000  2 H 2.04

Results
VASP energy ... -23.29 eV per cell

***

Record 8
The following is a PBE-GGA calculation of an optimized crystal structure of SrH4Pd2Pt, from Alexandria.

Cell lengths 5.2174, 5.2174, 5.2174 Å; angles 124.36, 124.36, 82.60 degrees
Last column: nearest neighbours and their distance in Å.
Fractional positions:
Sr1 0.0000 0.0000 0.0000  8 H 2.62-2.76
H1 0.1167 0.1311 0.6262  1 Pt 1.79, 2 Pd 1.89-1.96
H2 0.5049 0.4905 0.3738  1 Pt 1.79, 2 Pd 1.89-1.96
H3 0.5095 0.8833 0.0144  1 Pt 1.79, 2 Pd 1.89-1.96
H4 0.8689 0.4951 0.9856  1 Pt 1.79, 2 Pd 1.89-1.96
Pd1 0.2500 0.7500 0.5000  4 H 1.89
Pd2 0.5000 0.5000 0.0000  4 H 1.96
Pt1 0.7500 0.2500 0.5000  4 H 1.79

Results
VASP energy ... -34.00 eV per cell

***

Record 9
The following is a PBE-GGA calculation of an optimized crystal structure of Ta2HPdPt, from Alexandria.

Cell lengths 4.0565, 4.0565, 4.1298 Å; angles 90.00, 90.00, 90.00 degrees
Last column: nearest neighbours and their distance in Å.
Fractional positions:
Ta1 0.0000 0.5000 0.0000  2 H 2.03
Ta2 0.5000 0.0000 0.0000  2 H 2.03
H1 0.0000 0.0000 0.0000  4 Ta 2.03, 2 Pd 2.06
Pd1 0.0000 0.0000 0.5000  2 H 2.06
Pt1 0.5000 0.5000 0.5000  4 Pd 2.87, 8 Ta 2.89

Results
Energy above the most stable polymorph in this dataset ... 0.0000 eV/atom

***

Record 10
The following is a PBE-GGA calculation of an optimized crystal structure of TbHPd2Pt, from Alexandria.

Cell lengths 4.1861, 4.1861, 4.1518 Å; angles 90.00, 90.00, 90.00 degrees
Last column: nearest neighbours and their distance in Å.
Fractional positions:
Tb1 0.0000 0.0000 0.0000  8 Pd 2.95, 4 Pt 2.96
H1 0.5000 0.5000 0.5000  2 Pt 2.08, 4 Pd 2.09
Pd1 0.0000 0.5000 0.5000  2 H 2.09
Pd2 0.5000 0.0000 0.5000  2 H 2.09
Pt1 0.5000 0.5000 0.0000  2 H 2.08

Results
VASP energy ... -28.08 eV per cell

***

Record 11
The following is a PBE-GGA calculation of an optimized crystal structure of TbHPdPt2, from Alexandria.

Cell lengths 4.2300, 4.2300, 4.0946 Å; angles 90.00, 90.00, 90.00 degrees
Last column: nearest neighbours and their distance in Å.
Fractional positions:
Tb1 0.0000 0.0000 0.0000  8 Pt 2.94, 4 Pd 2.99
H1 0.5000 0.5000 0.5000  2 Pd 2.05, 4 Pt 2.11
Pd1 0.5000 0.5000 0.0000  2 H 2.05
Pt1 0.0000 0.5000 0.5000  2 H 2.11
Pt2 0.5000 0.0000 0.5000  2 H 2.11

Results
VASP energy ... -28.97 eV per cell

***

Record 12
The following is a PBE-GGA calculation of an optimized crystal structure of Tc2HPdPt, from Alexandria.

Cell lengths 3.9081, 3.9081, 4.0494 Å; angles 90.00, 90.00, 90.00 degrees
Last column: nearest neighbours and their distance in Å.
Fractional positions:
Tc1 0.0000 0.5000 0.0000  2 H 1.95
Tc2 0.5000 0.0000 0.0000  2 H 1.95
H1 0.0000 0.0000 0.0000  4 Tc 1.95, 2 Pd 2.02
Pd1 0.0000 0.0000 0.5000  2 H 2.02
Pt1 0.5000 0.5000 0.5000  4 Pd 2.76, 8 Tc 2.81

Results
VASP energy ... -34.90 eV per cell

***

no.,magnetic moment (μB per formula unit)
1,0.00
2,0.00
3,0.00
4,0.00
5,0.00
6,0.00
7,0.00
8,0.00
9,0.00
10,0.00
11,0.00
12,0.00